# PBE-GGA KMgTcOs, optimized geometry
# * total magnetization: 0.005 μB/f.u.
# * VASP energy: -4.97 eV/atom
# * energy above the lowest structure with this stoichiometry: 0.0 meV per atom
data_KMgTcOs
_cell_length_a 4.6441
_cell_length_b 4.6441
_cell_length_c 4.6441
_cell_angle_alpha 60.00
_cell_angle_beta 60.00
_cell_angle_gamma 60.00
_space_group_name_H-M_alt 'P 1'
_space_group_IT_number 1
loop_
_space_group_symop_operation_xyz
'x,y,z'
loop_
_atom_site_label
_atom_site_type_symbol
_atom_site_fract_x
_atom_site_fract_y
_atom_site_fract_z
_atom_site_occupancy
K1 K 0.5000 0.5000 0.5000 1
Mg1 Mg 0.7500 0.7500 0.7500 1
Os1 Os 0.0000 0.0000 0.0000 1
Tc1 Tc 0.2500 0.2500 0.2500 1

# PBE-GGA ErScFe2Ge2C, optimized geometry
# * total magnetization: 0.009 μB/f.u.
# * VASP energy: -7.15 eV/atom
data_ErScFe2Ge2C
_cell_length_a 5.5804
_cell_length_b 5.5804
_cell_length_c 6.6202
_cell_angle_alpha 125.12
_cell_angle_beta 125.12
_cell_angle_gamma 40.74
_space_group_name_H-M_alt 'P 1'
_space_group_IT_number 1
loop_
_space_group_symop_operation_xyz
'x,y,z'
loop_
_atom_site_label
_atom_site_type_symbol
_atom_site_fract_x
_atom_site_fract_y
_atom_site_fract_z
_atom_site_occupancy
C1 C 0.9972 0.9972 0.9901 1
Er1 Er 0.5576 0.5576 0.2871 1
Fe1 Fe 0.1976 0.1976 0.0914 1
Fe2 Fe 0.8013 0.8013 0.9075 1
Ge1 Ge 0.8422 0.8422 0.3045 1
Ge2 Ge 0.1596 0.1596 0.7017 1
Sc1 Sc 0.4447 0.4447 0.7178 1

# PBE-GGA LuHfCuSn, optimized geometry
# * total magnetization: 0.874 μB/f.u.
# * VASP energy: -5.35 eV/atom
# * energy above the lowest structure with this stoichiometry: 0.0 meV per atom
data_LuHfCuSn
_cell_length_a 4.9269
_cell_length_b 4.9269
_cell_length_c 4.9269
_cell_angle_alpha 60.00
_cell_angle_beta 60.00
_cell_angle_gamma 60.00
_space_group_name_H-M_alt 'P 1'
_space_group_IT_number 1
loop_
_space_group_symop_operation_xyz
'x,y,z'
loop_
_atom_site_label
_atom_site_type_symbol
_atom_site_fract_x
_atom_site_fract_y
_atom_site_fract_z
_atom_site_occupancy
Cu1 Cu 0.7500 0.7500 0.7500 1
Hf1 Hf 0.2500 0.2500 0.2500 1
Lu1 Lu 0.5000 0.5000 0.5000 1
Sn1 Sn 0.0000 0.0000 0.0000 1

# PBE-GGA Ag2HgGeTeS3, optimized geometry
# * VASP energy: -3.44 eV/atom
data_Ag2HgGeTeS3
_cell_length_a 5.9365
_cell_length_b 5.9365
_cell_length_c 7.2244
_cell_angle_alpha 114.49
_cell_angle_beta 114.49
_cell_angle_gamma 88.50
_space_group_name_H-M_alt 'P 1'
_space_group_IT_number 1
loop_
_space_group_symop_operation_xyz
'x,y,z'
loop_
_atom_site_label
_atom_site_type_symbol
_atom_site_fract_x
_atom_site_fract_y
_atom_site_fract_z
_atom_site_occupancy
Ag1 Ag 0.7685 0.2017 0.4799 1
Ag2 Ag 0.2017 0.7685 0.4799 1
Ge1 Ge 0.0229 0.0229 0.0229 1
Hg1 Hg 0.4954 0.4954 0.9956 1
S1 S 0.8994 0.3464 0.2477 1
S2 S 0.3464 0.8994 0.2477 1
S3 S 0.1216 0.1216 0.7898 1
Te1 Te 0.6440 0.6440 0.7366 1